[1]
This record from the Alexandria database describes a PBEsol-optimized structure of TcBr3. The functional is SCAN.

abc: 5.891 6.583 11.350
angles: 90.00 90.00 90.00
Last column: magnetic moment on the atom in μB.
Atoms (fractional coordinates):
Br 0.500 0.599 0.837  0.02
Tc 0.721 0.758 0.000  0.82
Br 0.500 0.096 0.354  0.04
Br 0.500 0.082 0.000  0.02
Br 0.500 0.599 0.163  0.02
Tc 0.279 0.758 0.000  0.82
Br 0.000 0.904 0.854  0.04
Br 0.000 0.904 0.146  0.04
Br 0.000 0.401 0.663  0.02
Tc 0.221 0.242 0.500  0.82
Br 0.000 0.918 0.500  0.02
Br 0.000 0.401 0.337  0.02
Tc 0.779 0.242 0.500  0.82
Br 0.500 0.096 0.646  0.04
Br 0.500 0.533 0.500  0.04
Br 0.000 0.467 0.000  0.04

## Properties
- volume (Å³ per atom) = 27.51
- ΔE to the lowest computed polymorph (eV per formula unit) = 0.00
- density of states at the Fermi level (states/eV/atom) = 0.3890

=====

[2]
This record from the Alexandria database describes a PBEsol-optimized structure of TcBr4. The functional is SCAN.

abc: 6.303 12.374 14.887
angles: 90.00 90.00 90.00
Last column: magnetic moment on the atom in μB.
Atoms (fractional coordinates):
Tc 0.403 0.631 0.820  2.32
Br 0.268 0.017 0.692  0.04
Br 0.232 0.983 0.192  0.04
Br 0.551 0.751 0.929  0.15
Br 0.746 0.010 0.571  0.14
Br 0.268 0.483 0.192  0.04
Br 0.425 0.255 0.307  0.05
Br 0.254 0.990 0.429  0.14
Br 0.768 0.017 0.808  0.04
Br 0.575 0.755 0.193  0.05
Br 0.754 0.510 0.571  0.14
Br 0.449 0.251 0.571  0.15
Tc 0.097 0.131 0.820  2.32
Br 0.925 0.245 0.693  0.05
Tc 0.597 0.369 0.180  2.32
Br 0.246 0.490 0.429  0.14
Br 0.949 0.249 0.429  0.15
Tc 0.903 0.869 0.180  2.32
Br 0.768 0.483 0.308  0.04
Br 0.051 0.751 0.571  0.15
Br 0.949 0.251 0.929  0.15
Br 0.732 0.517 0.808  0.04
Br 0.746 0.490 0.071  0.14
Br 0.732 0.983 0.308  0.04
Tc 0.903 0.631 0.680  2.32
Br 0.075 0.755 0.307  0.05
Br 0.232 0.517 0.692  0.04
Tc 0.097 0.369 0.320  2.32
Br 0.575 0.745 0.693  0.05
Br 0.254 0.510 0.929  0.14
Br 0.925 0.255 0.193  0.05
Br 0.425 0.245 0.807  0.05
Br 0.246 0.010 0.929  0.14
Br 0.449 0.249 0.071  0.15
Br 0.754 0.990 0.071  0.14
Tc 0.597 0.131 0.680  2.32
Br 0.075 0.745 0.807  0.05
Br 0.051 0.749 0.071  0.15
Br 0.551 0.749 0.429  0.15
Tc 0.403 0.869 0.320  2.32

## Properties
- uncorrected energy (eV per atom) = -23.09
- volume (Å³ per atom) = 29.03

=====

[3]
This record from the Alexandria database describes a PBEsol-optimized structure of TcBr3. The functional is SCAN.

abc: 5.063 5.063 5.063
angles: 90.00 90.00 90.00
Last column: magnetic moment on the atom in μB.
Atoms (fractional coordinates):
Br 0.500 0.000 0.000  0.10
Br 0.000 0.500 0.000  0.10
Br 0.000 0.000 0.500  0.10
Tc 0.000 0.000 0.000  3.09

## Properties
- volume (Å³ per atom) = 32.45
- ΔE to the lowest computed polymorph (eV per formula unit) = 1.09
- density of states at the Fermi level (states/eV/atom) = 0.3314

=====

[4]
This record from the Alexandria database describes a PBEsol-optimized structure of Tc2Br. The functional is SCAN.

abc: 2.923 4.376 8.624
angles: 104.70 90.00 90.00
Atoms (fractional coordinates):
Tc 0.250 0.641 0.281
Br 0.250 0.904 0.808
Tc 0.750 0.767 0.534
Tc 0.750 0.359 0.719
Br 0.750 0.096 0.192
Tc 0.250 0.233 0.466

## Properties
- volume (Å³ per atom) = 17.79
- ΔE to the lowest computed polymorph (eV per formula unit) = 0.05
- density of states at the Fermi level (states/eV/atom) = 0.7560

=====

[5]
This record from the Alexandria database describes a PBEsol-optimized structure of Tc5Br. The functional is SCAN.

abc: 2.830 4.349 7.223
angles: 90.00 101.30 90.00
Atoms (fractional coordinates):
Tc 0.439 0.500 0.877
Br 0.000 0.000 0.000
Tc 0.674 0.000 0.349
Tc 0.778 0.500 0.557
Tc 0.327 0.000 0.654
Tc 0.115 0.500 0.229

## Properties
- uncorrected energy (eV per atom) = -31.98
- volume (Å³ per atom) = 14.53
- density of states at the Fermi level (states/eV/atom) = 0.8125

=====

[6]
This record from the Alexandria database describes a PBEsol-optimized structure of TcBr3. The functional is SCAN.

abc: 5.972 6.541 6.541
angles: 120.00 90.00 90.00
Last column: magnetic moment on the atom in μB.
Atoms (fractional coordinates):
Br 0.250 0.306 0.000  0.06
Tc 0.500 0.000 0.000  1.19
Br 0.750 0.000 0.694  0.06
Br 0.750 0.694 0.000  0.06
Tc 0.000 0.000 0.000  1.19
Br 0.250 0.000 0.306  0.06
Br 0.250 0.694 0.694  0.06
Br 0.750 0.306 0.306  0.06

## Properties
- volume (Å³ per atom) = 27.66
- ΔE to the lowest computed polymorph (eV per formula unit) = 0.07
- density of states at the Fermi level (states/eV/atom) = 0.9011

=====

no.,mass density (g cm⁻³)
1,5.10
2,4.78
3,4.32
4,8.59
5,10.85
6,5.07